w:
! Ba7NaSr3 | the Alexandria database | PBE-GGA | optimized geometry; values from VASP
&SYSTEM
  ibrav = 0, nat = 11, ntyp = 3
/
ATOMIC_SPECIES
Ba 137.33 Ba.upf
Na 22.99 Na.upf
Sr 87.62 Sr.upf
ATOMIC_POSITIONS crystal
Ba 0.000 0.000 0.000
Ba 0.167 0.334 0.341
Ba 0.167 0.833 0.341
Ba 0.501 0.001 0.996
Ba 0.501 0.499 0.996
Ba 0.666 0.833 0.341
Ba 0.999 0.499 0.996
Na 0.667 0.333 0.334
Sr 0.334 0.167 0.666
Sr 0.833 0.167 0.666
Sr 0.833 0.666 0.666
CELL_PARAMETERS angstrom
8.701 0.000 0.000
-4.350 7.535 0.000
0.000 0.000 10.605
! - symmetry = P3m1, No. 156


x:
! Ba7NaSr3 | the Alexandria database | PBE-GGA | optimized geometry; values from VASP
&SYSTEM
  ibrav = 0, nat = 22, ntyp = 3
/
ATOMIC_SPECIES
Ba 137.33 Ba.upf
Na 22.99 Na.upf
Sr 87.62 Sr.upf
ATOMIC_POSITIONS crystal
Ba 0.059 0.941 0.623
Ba 0.059 0.941 0.877
Ba 0.069 0.931 0.120
Ba 0.069 0.931 0.380
Ba 0.166 0.834 0.750
Ba 0.240 0.760 0.119
Ba 0.240 0.760 0.381
Ba 0.760 0.240 0.619
Ba 0.760 0.240 0.881
Ba 0.834 0.166 0.250
Ba 0.931 0.069 0.620
Ba 0.931 0.069 0.880
Ba 0.941 0.059 0.123
Ba 0.941 0.059 0.377
Na 0.494 0.506 0.750
Na 0.506 0.494 0.250
Sr 0.345 0.655 0.750
Sr 0.347 0.653 0.014
Sr 0.347 0.653 0.486
Sr 0.653 0.347 0.514
Sr 0.653 0.347 0.986
Sr 0.655 0.345 0.250
CELL_PARAMETERS angstrom
2.160 -18.185 0.000
2.160 18.185 0.000
0.000 0.000 17.158
! - symmetry = Cmcm, No. 63


Which is the most stable structure? x is the most stable.


w:
! BaNa2Sr2 | the Alexandria database | PBE-GGA | optimized geometry; values from VASP
&SYSTEM
  ibrav = 0, nat = 5, ntyp = 3
/
ATOMIC_SPECIES
Ba 137.33 Ba.upf
Na 22.99 Na.upf
Sr 87.62 Sr.upf
ATOMIC_POSITIONS crystal
Ba 0.000 0.000 0.000
Na 0.250 0.750 0.500
Na 0.750 0.250 0.500
Sr 0.379 0.379 0.000
Sr 0.621 0.621 0.000
CELL_PARAMETERS angstrom
-2.242 2.242 12.907
2.242 -2.242 12.907
2.242 2.242 -12.907
! - symmetry = I4/mmm, No. 139


x:
! BaNa2Sr2 | the Alexandria database | PBE-GGA | optimized geometry; values from VASP
&SYSTEM
  ibrav = 0, nat = 5, ntyp = 3
/
ATOMIC_SPECIES
Ba 137.33 Ba.upf
Na 22.99 Na.upf
Sr 87.62 Sr.upf
ATOMIC_POSITIONS crystal
Ba 0.000 0.000 0.000
Na 0.297 0.297 0.877
Na 0.703 0.703 0.123
Sr 0.377 0.377 0.436
Sr 0.623 0.623 0.564
CELL_PARAMETERS angstrom
8.621 -2.115 0.000
8.621 2.115 0.000
-1.497 0.000 6.992
! - symmetry = C2/m, No. 12


Which is the most stable structure? x is the most stable.